# 1
ZrTa2Hg | GGA-PBE | optimized geometry

For the total magnetic moment, the calculation gives 0.00 Bohr magnetons per cell. Its formation energy is 0.29 eV per atom.

Cell: 5.9300 9.0704 2.9604 Å, 90.00 90.00 90.00°
Space group Cmmm (No. 65)
One atom of each set of equivalent atoms:
Zr1 0.0000 0.0000 0.0000 [2 per cell]
Ta1 0.2500 0.2500 0.5000 [4 per cell]
Hg1 0.0000 0.5000 0.0000 [2 per cell]

---

# 2
Sc2PdPb | GGA-PBE | optimized geometry

For the total magnetic moment, the calculation gives 0.00 Bohr magnetons per cell. Its formation energy is -0.56 eV per atom.

Cell: 4.6647 4.6647 3.8643 Å, 90.00 90.00 90.00°
Space group P4/mmm (No. 123)
One atom of each set of equivalent atoms:
Sc1 0.0000 0.5000 0.0000 [2 per cell]
Pd1 0.0000 0.0000 0.5000 [1 per cell]
Pb1 0.5000 0.5000 0.5000 [1 per cell]

---

# 3
Ba2Na2PdO4 | GGA-PBE | optimized geometry

For the total magnetic moment, the calculation gives 0.00 Bohr magnetons per cell.

Cell: 14.2423 3.4319 6.1473 Å, 90.00 95.93 90.00°
Space group C2/m (No. 12)
One atom of each set of equivalent atoms:
Ba1 0.1299 0.0000 0.0445 [4 per cell]
Na1 0.1733 0.5000 0.5661 [4 per cell]
Pd1 0.0000 0.0000 0.5000 [2 per cell]
O1 0.0111 0.5000 0.7133 [4 per cell]
O2 0.2433 0.5000 0.2335 [4 per cell]

---

# 4
Ce2CuRh3 | GGA-PBE | optimized geometry

For the total magnetic moment, the calculation gives 2.24 Bohr magnetons per cell. Its formation energy is -0.62 eV per atom.

Cell: 5.5284 5.5284 12.1267 Å, 90.00 90.00 120.00°
Space group R-3m (No. 166, hexagonal axes)
One atom of each set of equivalent atoms:
Ce1 0.0000 0.0000 0.1265 [6 per cell]
Cu1 0.0000 0.0000 0.5000 [3 per cell]
Rh1 0.0000 0.5000 0.0000 [9 per cell]

---

# 5
SrAcRhPb | GGA-PBE | optimized geometry

For the total magnetic moment, the calculation gives 0.00 Bohr magnetons per cell. Its formation energy is -0.48 eV per atom. As for the energy above the most stable polymorph in this dataset: 0 meV/atom.

Cell: 4.0750 4.7443 12.9099 Å, 90.00 90.00 90.00°
Space group Amm2 (No. 38)
One atom of each set of equivalent atoms:
Sr1 0.0000 0.0000 0.0000 [2 per cell]
Ac1 0.5000 0.0000 0.2912 [2 per cell]
Rh1 0.0000 0.0000 0.7499 [2 per cell]
Pb1 0.5000 0.0000 0.5944 [2 per cell]

---

# 6
LaBiSbTe2 | GGA-PBE | optimized geometry

For the total magnetic moment, the calculation gives 0.00 Bohr magnetons per cell.

Cell: 6.0340 6.0340 6.1279 Å, 90.00 90.00 90.00°
Space group P4/mmm (No. 123)
One atom of each set of equivalent atoms:
La1 0.0000 0.0000 0.0000 [1 per cell]
Bi1 0.5000 0.5000 0.5000 [1 per cell]
Sb1 0.0000 0.0000 0.5000 [1 per cell]
Te1 0.0000 0.5000 0.0000 [2 per cell]

---

# 7
PrThHgRh | GGA-PBE | optimized geometry

For the total magnetic moment, the calculation gives 0.00 Bohr magnetons per cell. Its formation energy is -0.55 eV per atom. As for the energy above the most stable polymorph in this dataset: 0 meV/atom.

Cell: 7.1203 4.1094 8.2434 Å, 90.00 106.79 90.00°
Space group Cm (No. 8)
One atom of each set of equivalent atoms:
Pr1 0.0000 0.0000 0.0000 [2 per cell]
Th1 0.1973 0.0000 0.5912 [2 per cell]
Hg1 0.2664 0.5000 0.2988 [2 per cell]
Rh1 0.0925 0.5000 0.7774 [2 per cell]

---

# 8
Al2PW | GGA-PBE | optimized geometry

For the total magnetic moment, the calculation gives 0.00 Bohr magnetons per cell. Its formation energy is 0.41 eV per atom.

Cell: 7.0605 7.0605 5.1305 Å, 90.00 90.00 90.00°
Space group I-42d (No. 122)
One atom of each set of equivalent atoms:
Al1 0.2159 0.7500 0.1250 [8 per cell]
P1 0.0000 0.0000 0.0000 [4 per cell]
W1 0.0000 0.0000 0.5000 [4 per cell]

---

# 9
PaAlRh | GGA-PBE | optimized geometry

For the total magnetic moment, the calculation gives 0.00 Bohr magnetons per cell. Its formation energy is -0.71 eV per atom.

Cell: 4.2487 9.9097 5.5110 Å, 90.00 90.00 90.00°
Space group Cmcm (No. 63)
One atom of each set of equivalent atoms:
Pa1 0.0000 0.2027 0.2500 [4 per cell]
Al1 0.0000 0.5000 0.0000 [4 per cell]
Rh1 0.0000 0.0995 0.7500 [4 per cell]

---

# 10
BaInAgPd | GGA-PBE | optimized geometry

For the total magnetic moment, the calculation gives 0.00 Bohr magnetons per cell. Its formation energy is -0.45 eV per atom.

Cell: 8.3161 4.7996 6.2667 Å, 90.00 116.49 90.00°
Space group Cm (No. 8)
One atom of each set of equivalent atoms:
Ba1 0.0000 0.0000 0.0000 [2 per cell]
In1 0.0147 0.5000 0.5433 [2 per cell]
Ag1 0.3023 0.5000 0.4068 [2 per cell]
Pd1 0.1954 0.0000 0.5852 [2 per cell]

---

# 11
La2Tb6Sm3Pu | GGA-PBE | optimized geometry

For the total magnetic moment, the calculation gives 13.00 Bohr magnetons per cell. Its formation energy is 0.04 eV per atom.

Cell: 6.2283 10.8032 11.8499 Å, 90.00 100.15 90.00°
Space group C2/m (No. 12)
One atom of each set of equivalent atoms:
La1 0.0000 0.1666 0.0000 [4 per cell]
Tb1 0.2449 0.5000 0.7501 [4 per cell]
Tb2 0.2472 0.3359 0.2499 [8 per cell]
Sm1 0.0000 0.0000 0.5000 [2 per cell]
Sm2 0.0000 0.3333 0.5000 [4 per cell]
Pu1 0.0000 0.5000 0.0000 [2 per cell]

---

# 12
ZnCd2Te | GGA-PBE | optimized geometry

For the total magnetic moment, the calculation gives 0.00 Bohr magnetons per cell. As for the energy above the most stable polymorph in this dataset: 22 meV/atom.

Cell: 4.2648 3.9348 6.2729 Å, 90.00 107.25 90.00°
Space group Pm (No. 6)
One atom of each set of equivalent atoms:
Zn1 0.0000 0.0000 0.0000 [1 per cell]
Cd1 0.4110 0.5000 0.8799 [1 per cell]
Cd2 0.6580 0.0000 0.5543 [1 per cell]
Te1 0.0437 0.5000 0.3301 [1 per cell]

---

# 13
YMoRh2 | GGA-PBE | optimized geometry

For the total magnetic moment, the calculation gives 0.00 Bohr magnetons per cell. Its formation energy is -0.19 eV per atom. As for the energy above the most stable polymorph in this dataset: 81 meV/atom.

Cell: 6.0854 7.5369 2.9924 Å, 90.00 90.00 90.00°
Space group Cmmm (No. 65)
One atom of each set of equivalent atoms:
Y1 0.0000 0.0000 0.0000 [2 per cell]
Mo1 0.0000 0.5000 0.0000 [2 per cell]
Rh1 0.2500 0.2500 0.5000 [4 per cell]

---

# 14
Ac12Pt6Rh | GGA-PBE | optimized geometry

For the total magnetic moment, the calculation gives 0.00 Bohr magnetons per cell. Its formation energy is -0.80 eV per atom.

Cell: 13.5739 13.5739 12.8194 Å, 90.00 90.00 120.00°
Space group R-3 (No. 148, hexagonal axes)
One atom of each set of equivalent atoms:
Ac1 0.0238 0.8109 0.3921 [18 per cell]
Ac2 0.0349 0.8340 0.8813 [18 per cell]
Pt1 0.0413 0.7783 0.6462 [18 per cell]
Rh1 0.0000 0.0000 0.0000 [3 per cell]

---

# 15
SiTeBr2 | GGA-PBE | optimized geometry

For the total magnetic moment, the calculation gives 0.00 Bohr magnetons per cell. As for the energy above the most stable polymorph in this dataset: 336 meV/atom.

Cell: 3.3286 5.5057 14.7405 Å, 90.00 90.00 90.00°
Space group Immm (No. 71)
One atom of each set of equivalent atoms:
Si1 0.0000 0.0000 0.0000 [2 per cell]
Te1 0.0000 0.0000 0.5000 [2 per cell]
Br1 0.0000 0.5000 0.3590 [4 per cell]

---

# 16
PaZn4Co | GGA-PBE | optimized geometry

For the total magnetic moment, the calculation gives 7.70 Bohr magnetons per cell. Its formation energy is 0.10 eV per atom. As for the energy above the most stable polymorph in this dataset: 275 meV/atom.

Cell: 7.3385 7.3385 7.3385 Å, 90.00 90.00 90.00°
Space group F-43m (No. 216)
One atom of each set of equivalent atoms:
Pa1 0.0000 0.0000 0.0000 [4 per cell]
Zn1 0.1240 0.1240 0.6240 [16 per cell]
Co1 0.2500 0.2500 0.2500 [4 per cell]

---

# 17
Rb2PmRu3O12 | GGA-PBE | optimized geometry

For the total magnetic moment, the calculation gives 6.29 Bohr magnetons per cell.

Cell: 7.3538 7.3538 18.7392 Å, 90.00 90.00 120.00°
Space group R-3m (No. 166, hexagonal axes)
One atom of each set of equivalent atoms:
Rb1 0.0000 0.0000 0.1177 [6 per cell]
Pm1 0.0000 0.0000 0.5000 [3 per cell]
Ru1 0.0000 0.5000 0.0000 [9 per cell]
O1 0.0252 0.5126 0.0999 [18 per cell]
O2 0.0805 0.5402 0.3397 [18 per cell]

---

Number 1: electronic total energy -0.5766 Ry per atom. Number 2: electronic total energy -0.4373 Ry per atom. Number 3: electronic total energy -0.3754 Ry per atom. Number 4: electronic total energy -0.5116 Ry per atom. Number 5: electronic total energy -0.3448 Ry per atom. Number 6: electronic total energy -0.2662 Ry per atom. Number 7: electronic total energy -0.4052 Ry per atom. Number 8: electronic total energy -0.4452 Ry per atom. Number 9: electronic total energy -0.5566 Ry per atom. Number 10: electronic total energy -0.2662 Ry per atom. Number 11: electronic total energy -0.4017 Ry per atom. Number 12: electronic total energy -0.1148 Ry per atom. Number 13: electronic total energy -0.6017 Ry per atom. Number 14: electronic total energy -0.4184 Ry per atom. Number 15: electronic total energy -0.2042 Ry per atom. Number 16: electronic total energy -0.2588 Ry per atom. Number 17: electronic total energy -0.4762 Ry per atom.